# BaScI, optimized geometry, DFT PBE
# - ρ: 4.34 g cm⁻³
# - Crystal system: monoclinic
# - DFT total energy: -3.68 eV/atom
# - Raw formation energy: -0.41 eV per atom
data_BaScI
_space_group_name_H-M_alt 'C 1 m 1'
_space_group_IT_number 8
_cell_length_a 13.403
_cell_length_b 4.069
_cell_length_c 10.952
_cell_angle_alpha 90.00
_cell_angle_beta 127.58
_cell_angle_gamma 90.00
loop_
_space_group_symop_operation_xyz
'x,y,z'
'x,-y,z'
'x+1/2,y+1/2,z'
'x+1/2,-y+1/2,z'
loop_
_atom_site_label
_atom_site_type_symbol
_atom_site_fract_x
_atom_site_fract_y
_atom_site_fract_z
Ba1 Ba 0.000 0.000 0.000
Ba2 Ba 0.104 0.000 0.595
Sc1 Sc 0.216 0.500 0.953
Sc2 Sc 0.392 0.000 0.212
I1 I 0.257 0.500 0.274
I2 I 0.429 0.000 0.690

=====

# BaSc2I, optimized geometry, DFT PBE
# - ρ: 4.21 g cm⁻³
# - Crystal system: tetragonal
# - DFT total energy: -3.94 eV/atom
# - Raw formation energy: 0.09 eV per atom
data_BaSc2I
_space_group_name_H-M_alt 'I -4 2 d'
_space_group_IT_number 122
_space_group_name_Hall 'I -4 2bw'
_cell_length_a 9.130
_cell_length_b 9.130
_cell_length_c 6.707
_cell_angle_alpha 90.00
_cell_angle_beta 90.00
_cell_angle_gamma 90.00
loop_
_atom_site_label
_atom_site_type_symbol
_atom_site_fract_x
_atom_site_fract_y
_atom_site_fract_z
Ba1 Ba 0.000 0.000 0.000
Sc1 Sc 0.179 0.250 0.625
I1 I 0.000 0.000 0.500

=====

# BaScI2, optimized geometry, DFT PBE
# - ρ: 5.32 g cm⁻³
# - Crystal system: cubic
# - DFT total energy: -3.48 eV/atom
# - Raw formation energy: -0.65 eV per atom
data_BaScI2
_space_group_name_H-M_alt 'F m -3 m'
_space_group_IT_number 225
_space_group_name_Hall '-F 4 2 3'
_cell_length_a 8.165
_cell_length_b 8.165
_cell_length_c 8.165
_cell_angle_alpha 90.00
_cell_angle_beta 90.00
_cell_angle_gamma 90.00
loop_
_atom_site_label
_atom_site_type_symbol
_atom_site_fract_x
_atom_site_fract_y
_atom_site_fract_z
Ba1 Ba 0.000 0.000 0.000
Sc1 Sc 0.000 0.000 0.500
I1 I 0.250 0.250 0.250

=====

# BaScI2, optimized geometry, DFT PBE
# - ρ: 4.08 g cm⁻³
# - Crystal system: tetragonal
# - DFT total energy: -3.43 eV/atom
# - Raw formation energy: -0.59 eV per atom
data_BaScI2
_space_group_name_H-M_alt 'I -4 2 d'
_space_group_IT_number 122
_space_group_name_Hall 'I -4 2bw'
_cell_length_a 6.028
_cell_length_b 6.028
_cell_length_c 19.538
_cell_angle_alpha 90.00
_cell_angle_beta 90.00
_cell_angle_gamma 90.00
loop_
_atom_site_label
_atom_site_type_symbol
_atom_site_fract_x
_atom_site_fract_y
_atom_site_fract_z
Ba1 Ba 0.000 0.000 0.000
Sc1 Sc 0.000 0.000 0.500
I1 I 0.190 0.250 0.625